(1)
The following is a DFT calculation (PBE) of crystalline AcTaCo at its relaxed geometry.

Properties
Final energy, eV/atom: -6.583
Volume, Å³/f.u.: 70.7

Cell and atoms, written as CIF:
```
data_AcTaCo
_cell_length_a 6.5636
_cell_length_b 6.5636
_cell_length_c 6.5636
_cell_angle_alpha 90.00
_cell_angle_beta 90.00
_cell_angle_gamma 90.00
_symmetry_space_group_name_H-M 'F -4 3 m'
_symmetry_Int_Tables_number 216
_symmetry_space_group_name_Hall 'F -4 2 3'
loop_
_atom_site_label
_atom_site_fract_x
_atom_site_fract_y
_atom_site_fract_z
_atom_site_occupancy
Ac1 0.0000 0.0000 0.0000 1
Ta1 0.2500 0.2500 0.7500 1
Co1 0.0000 0.0000 0.5000 1
```


(2)
The following is a DFT calculation (PBE) of crystalline AcTlCo at its relaxed geometry.

Properties
Energy relative to the lowest polymorph listed for this composition, meV/atom: 0
Volume, Å³/f.u.: 80.7

Cell and atoms, written as CIF:
```
data_AcTlCo
_cell_length_a 6.8592
_cell_length_b 6.8592
_cell_length_c 6.8592
_cell_angle_alpha 90.00
_cell_angle_beta 90.00
_cell_angle_gamma 90.00
_symmetry_space_group_name_H-M 'F -4 3 m'
_symmetry_Int_Tables_number 216
_symmetry_space_group_name_Hall 'F -4 2 3'
loop_
_atom_site_label
_atom_site_fract_x
_atom_site_fract_y
_atom_site_fract_z
_atom_site_occupancy
Ac1 0.0000 0.0000 0.0000 1
Tl1 0.0000 0.0000 0.5000 1
Co1 0.2500 0.2500 0.2500 1
```


(3)
The following is a DFT calculation (PBE) of crystalline AcUCo at its relaxed geometry.

Properties
Energy relative to the lowest polymorph listed for this composition, meV/atom: 0
Volume, Å³/f.u.: 72.0

Cell and atoms, written as CIF:
```
data_AcUCo
_cell_length_a 6.6038
_cell_length_b 6.6038
_cell_length_c 6.6038
_cell_angle_alpha 90.00
_cell_angle_beta 90.00
_cell_angle_gamma 90.00
_symmetry_space_group_name_H-M 'F -4 3 m'
_symmetry_Int_Tables_number 216
_symmetry_space_group_name_Hall 'F -4 2 3'
loop_
_atom_site_label
_atom_site_fract_x
_atom_site_fract_y
_atom_site_fract_z
_atom_site_occupancy
Ac1 0.0000 0.0000 0.0000 1
U1 0.2500 0.2500 0.2500 1
Co1 0.0000 0.0000 0.5000 1
```


(4)
The following is a DFT calculation (PBE) of crystalline AcCoW at its relaxed geometry.

Properties
Energy relative to the lowest polymorph listed for this composition, meV/atom: 0
Volume, Å³/f.u.: 68.7

Cell and atoms, written as CIF:
```
data_AcCoW
_cell_length_a 6.5007
_cell_length_b 6.5007
_cell_length_c 6.5007
_cell_angle_alpha 90.00
_cell_angle_beta 90.00
_cell_angle_gamma 90.00
_symmetry_space_group_name_H-M 'F -4 3 m'
_symmetry_Int_Tables_number 216
_symmetry_space_group_name_Hall 'F -4 2 3'
loop_
_atom_site_label
_atom_site_fract_x
_atom_site_fract_y
_atom_site_fract_z
_atom_site_occupancy
Ac1 0.0000 0.0000 0.0000 1
Co1 0.0000 0.0000 0.5000 1
W1 0.2500 0.2500 0.7500 1
```


(5)
The following is a DFT calculation (PBE) of crystalline AcCoW at its relaxed geometry.

Properties
Energy relative to the lowest polymorph listed for this composition, meV/atom: 699
Volume, Å³/f.u.: 66.2

Cell and atoms, written as CIF:
```
data_AcCoW
_cell_length_a 6.4211
_cell_length_b 6.4211
_cell_length_c 6.4211
_cell_angle_alpha 90.00
_cell_angle_beta 90.00
_cell_angle_gamma 90.00
_symmetry_space_group_name_H-M 'F -4 3 m'
_symmetry_Int_Tables_number 216
_symmetry_space_group_name_Hall 'F -4 2 3'
loop_
_atom_site_label
_atom_site_fract_x
_atom_site_fract_y
_atom_site_fract_z
_atom_site_occupancy
Ac1 0.0000 0.0000 0.0000 1
Co1 0.2500 0.2500 0.7500 1
W1 0.2500 0.2500 0.2500 1
```


(6)
The following is a DFT calculation (PBE) of crystalline AcYCo at its relaxed geometry.

Properties
Final energy, eV/atom: -5.029
Volume, Å³/f.u.: 83.3

Cell and atoms, written as CIF:
```
data_AcYCo
_cell_length_a 6.9331
_cell_length_b 6.9331
_cell_length_c 6.9331
_cell_angle_alpha 90.00
_cell_angle_beta 90.00
_cell_angle_gamma 90.00
_symmetry_space_group_name_H-M 'F -4 3 m'
_symmetry_Int_Tables_number 216
_symmetry_space_group_name_Hall 'F -4 2 3'
loop_
_atom_site_label
_atom_site_fract_x
_atom_site_fract_y
_atom_site_fract_z
_atom_site_occupancy
Ac1 0.0000 0.0000 0.0000 1
Y1 0.2500 0.2500 0.2500 1
Co1 0.0000 0.0000 0.5000 1
```


(7)
The following is a DFT calculation (PBE) of crystalline AcZrCo at its relaxed geometry.

Properties
Final energy, eV/atom: -5.381
Volume, Å³/f.u.: 75.3

Cell and atoms, written as CIF:
```
data_AcZrCo
_cell_length_a 6.7023
_cell_length_b 6.7023
_cell_length_c 6.7023
_cell_angle_alpha 90.00
_cell_angle_beta 90.00
_cell_angle_gamma 90.00
_symmetry_space_group_name_H-M 'F -4 3 m'
_symmetry_Int_Tables_number 216
_symmetry_space_group_name_Hall 'F -4 2 3'
loop_
_atom_site_label
_atom_site_fract_x
_atom_site_fract_y
_atom_site_fract_z
_atom_site_occupancy
Ac1 0.0000 0.0000 0.0000 1
Zr1 0.2500 0.2500 0.2500 1
Co1 0.2500 0.2500 0.7500 1
```


(8)
The following is a DFT calculation (PBE) of crystalline CsAcDy at its relaxed geometry.

Properties
Energy relative to the lowest polymorph listed for this composition, meV/atom: 43
Volume, Å³/f.u.: 140.0

Cell and atoms, written as CIF:
```
data_CsAcDy
_cell_length_a 8.2422
_cell_length_b 8.2422
_cell_length_c 8.2422
_cell_angle_alpha 90.00
_cell_angle_beta 90.00
_cell_angle_gamma 90.00
_symmetry_space_group_name_H-M 'F -4 3 m'
_symmetry_Int_Tables_number 216
_symmetry_space_group_name_Hall 'F -4 2 3'
loop_
_atom_site_label
_atom_site_fract_x
_atom_site_fract_y
_atom_site_fract_z
_atom_site_occupancy
Cs1 0.0000 0.0000 0.0000 1
Ac1 0.2500 0.2500 0.2500 1
Dy1 0.2500 0.2500 0.7500 1
```


(9)
The following is a DFT calculation (PBE) of crystalline CsAcDy at its relaxed geometry.

Properties
Energy relative to the lowest polymorph listed for this composition, meV/atom: 0
Volume, Å³/f.u.: 174.7

Cell and atoms, written as CIF:
```
data_CsAcDy
_cell_length_a 8.8743
_cell_length_b 8.8743
_cell_length_c 8.8743
_cell_angle_alpha 90.00
_cell_angle_beta 90.00
_cell_angle_gamma 90.00
_symmetry_space_group_name_H-M 'F -4 3 m'
_symmetry_Int_Tables_number 216
_symmetry_space_group_name_Hall 'F -4 2 3'
loop_
_atom_site_label
_atom_site_fract_x
_atom_site_fract_y
_atom_site_fract_z
_atom_site_occupancy
Cs1 0.0000 0.0000 0.0000 1
Ac1 0.0000 0.0000 0.5000 1
Dy1 0.2500 0.2500 0.7500 1
```


(10)
The following is a DFT calculation (PBE) of crystalline CsAcEr at its relaxed geometry.

Properties
Energy relative to the lowest polymorph listed for this composition, meV/atom: 0
Volume, Å³/f.u.: 173.3

Cell and atoms, written as CIF:
```
data_CsAcEr
_cell_length_a 8.8508
_cell_length_b 8.8508
_cell_length_c 8.8508
_cell_angle_alpha 90.00
_cell_angle_beta 90.00
_cell_angle_gamma 90.00
_symmetry_space_group_name_H-M 'F -4 3 m'
_symmetry_Int_Tables_number 216
_symmetry_space_group_name_Hall 'F -4 2 3'
loop_
_atom_site_label
_atom_site_fract_x
_atom_site_fract_y
_atom_site_fract_z
_atom_site_occupancy
Cs1 0.0000 0.0000 0.0000 1
Ac1 0.0000 0.0000 0.5000 1
Er1 0.2500 0.2500 0.7500 1
```


(11)
The following is a DFT calculation (PBE) of crystalline CsAcEr at its relaxed geometry.

Properties
Energy relative to the lowest polymorph listed for this composition, meV/atom: 55
Volume, Å³/f.u.: 140.4

Cell and atoms, written as CIF:
```
data_CsAcEr
_cell_length_a 8.2504
_cell_length_b 8.2504
_cell_length_c 8.2504
_cell_angle_alpha 90.00
_cell_angle_beta 90.00
_cell_angle_gamma 90.00
_symmetry_space_group_name_H-M 'F -4 3 m'
_symmetry_Int_Tables_number 216
_symmetry_space_group_name_Hall 'F -4 2 3'
loop_
_atom_site_label
_atom_site_fract_x
_atom_site_fract_y
_atom_site_fract_z
_atom_site_occupancy
Cs1 0.0000 0.0000 0.0000 1
Ac1 0.2500 0.2500 0.2500 1
Er1 0.2500 0.2500 0.7500 1
```


(12)
The following is a DFT calculation (PBE) of crystalline CsAcGd at its relaxed geometry.

Properties
Energy relative to the lowest polymorph listed for this composition, meV/atom: 0
Volume, Å³/f.u.: 140.8

Cell and atoms, written as CIF:
```
data_CsAcGd
_cell_length_a 8.2588
_cell_length_b 8.2588
_cell_length_c 8.2588
_cell_angle_alpha 90.00
_cell_angle_beta 90.00
_cell_angle_gamma 90.00
_symmetry_space_group_name_H-M 'F -4 3 m'
_symmetry_Int_Tables_number 216
_symmetry_space_group_name_Hall 'F -4 2 3'
loop_
_atom_site_label
_atom_site_fract_x
_atom_site_fract_y
_atom_site_fract_z
_atom_site_occupancy
Cs1 0.0000 0.0000 0.0000 1
Ac1 0.2500 0.2500 0.7500 1
Gd1 0.2500 0.2500 0.2500 1
```


(13)
The following is a DFT calculation (PBE) of crystalline CsAcGd at its relaxed geometry.

Properties
Energy relative to the lowest polymorph listed for this composition, meV/atom: 49
Volume, Å³/f.u.: 175.5

Cell and atoms, written as CIF:
```
data_CsAcGd
_cell_length_a 8.8881
_cell_length_b 8.8881
_cell_length_c 8.8881
_cell_angle_alpha 90.00
_cell_angle_beta 90.00
_cell_angle_gamma 90.00
_symmetry_space_group_name_H-M 'F -4 3 m'
_symmetry_Int_Tables_number 216
_symmetry_space_group_name_Hall 'F -4 2 3'
loop_
_atom_site_label
_atom_site_fract_x
_atom_site_fract_y
_atom_site_fract_z
_atom_site_occupancy
Cs1 0.0000 0.0000 0.0000 1
Ac1 0.2500 0.2500 0.2500 1
Gd1 0.0000 0.0000 0.5000 1
```


(14)
The following is a DFT calculation (PBE) of crystalline CsAcHf at its relaxed geometry.

Properties
Energy relative to the lowest polymorph listed for this composition, meV/atom: 173
Volume, Å³/f.u.: 119.7

Cell and atoms, written as CIF:
```
data_CsAcHf
_cell_length_a 7.8241
_cell_length_b 7.8241
_cell_length_c 7.8241
_cell_angle_alpha 90.00
_cell_angle_beta 90.00
_cell_angle_gamma 90.00
_symmetry_space_group_name_H-M 'F -4 3 m'
_symmetry_Int_Tables_number 216
_symmetry_space_group_name_Hall 'F -4 2 3'
loop_
_atom_site_label
_atom_site_fract_x
_atom_site_fract_y
_atom_site_fract_z
_atom_site_occupancy
Cs1 0.0000 0.0000 0.0000 1
Ac1 0.2500 0.2500 0.7500 1
Hf1 0.2500 0.2500 0.2500 1
```


(15)
The following is a DFT calculation (PBE) of crystalline CsAcHf at its relaxed geometry.

Properties
Energy relative to the lowest polymorph listed for this composition, meV/atom: 0
Volume, Å³/f.u.: 145.9

Cell and atoms, written as CIF:
```
data_CsAcHf
_cell_length_a 8.3561
_cell_length_b 8.3561
_cell_length_c 8.3561
_cell_angle_alpha 90.00
_cell_angle_beta 90.00
_cell_angle_gamma 90.00
_symmetry_space_group_name_H-M 'F -4 3 m'
_symmetry_Int_Tables_number 216
_symmetry_space_group_name_Hall 'F -4 2 3'
loop_
_atom_site_label
_atom_site_fract_x
_atom_site_fract_y
_atom_site_fract_z
_atom_site_occupancy
Cs1 0.0000 0.0000 0.0000 1
Ac1 0.0000 0.0000 0.5000 1
Hf1 0.2500 0.2500 0.7500 1
```


(16)
The following is a DFT calculation (PBE) of crystalline CsAcHg at its relaxed geometry.

Properties
Energy relative to the lowest polymorph listed for this composition, meV/atom: 188
Volume, Å³/f.u.: 125.7

Cell and atoms, written as CIF:
```
data_CsAcHg
_cell_length_a 7.9521
_cell_length_b 7.9521
_cell_length_c 7.9521
_cell_angle_alpha 90.00
_cell_angle_beta 90.00
_cell_angle_gamma 90.00
_symmetry_space_group_name_H-M 'F -4 3 m'
_symmetry_Int_Tables_number 216
_symmetry_space_group_name_Hall 'F -4 2 3'
loop_
_atom_site_label
_atom_site_fract_x
_atom_site_fract_y
_atom_site_fract_z
_atom_site_occupancy
Cs1 0.0000 0.0000 0.0000 1
Ac1 0.2500 0.2500 0.7500 1
Hg1 0.2500 0.2500 0.2500 1
```